Entry from Alexandria: a geometry-optimized Na2PuPd2O6 structure (PBE).

Properties
Its space-group type is C2/m. For the density of states at the Fermi level, the calculation gives 5.3 states/eV per cell. The uncorrected formation energy is -1.52 eV/atom. Its total energy is -73.82 eV/cell. The value obtained for the magnetization is 1.99 Bohr magnetons per cell. Its crystal system is monoclinic.

Unit cell a=5.484 b=5.484 c=6.379 alpha=104.93 beta=104.93 gamma=112.49
Fractional coordinates of all 11 atoms:
Na (0.180, 0.820, 0.000)
Na (0.820, 0.180, 0.000)
Pu (0.000, 0.000, 0.500)
Pd (0.334, 0.666, 0.500)
Pd (0.666, 0.334, 0.500)
O (0.019, 0.349, 0.729)
O (0.258, 0.258, 0.311)
O (0.349, 0.019, 0.729)
O (0.651, 0.981, 0.271)
O (0.742, 0.742, 0.689)
O (0.981, 0.651, 0.271)

Entry from Alexandria: a geometry-optimized SnSb2IN structure (PBE).

Properties
Its space-group type is P4/mmm. For the density of states at the Fermi level, the calculation gives 11.3 states/eV per cell. The uncorrected formation energy is 1.90 eV/atom. Its total energy is -12.62 eV/cell. The value obtained for the magnetization is 0.00 Bohr magnetons per cell. Its crystal system is tetragonal.

Unit cell a=5.738 b=5.738 c=5.760 alpha=90.00 beta=90.00 gamma=90.00
Fractional coordinates of all 5 atoms:
Sn (0.000, 0.000, 0.000)
Sb (0.000, 0.500, 0.000)
Sb (0.500, 0.000, 0.000)
I (0.000, 0.000, 0.500)
N (0.500, 0.500, 0.500)

Which value of magnetization does entry 2 give? 0.00 Bohr magnetons per cell

Look up the magnetization of the first one. 1.99 Bohr magnetons per cell

Please write out number 1 again, unchanged.
Entry from Alexandria: a geometry-optimized Na2PuPd2O6 structure (PBE).

Properties
Its space-group type is C2/m. For the density of states at the Fermi level, the calculation gives 5.3 states/eV per cell. The uncorrected formation energy is -1.52 eV/atom. Its total energy is -73.82 eV/cell. The value obtained for the magnetization is 1.99 Bohr magnetons per cell. Its crystal system is monoclinic.

Unit cell a=5.484 b=5.484 c=6.379 alpha=104.93 beta=104.93 gamma=112.49
Fractional coordinates of all 11 atoms:
Na (0.180, 0.820, 0.000)
Na (0.820, 0.180, 0.000)
Pu (0.000, 0.000, 0.500)
Pd (0.334, 0.666, 0.500)
Pd (0.666, 0.334, 0.500)
O (0.019, 0.349, 0.729)
O (0.258, 0.258, 0.311)
O (0.349, 0.019, 0.729)
O (0.651, 0.981, 0.271)
O (0.742, 0.742, 0.689)
O (0.981, 0.651, 0.271)